3
Lattice="-1.891 -3.119 -2.118 3.559 -0.695 -2.154 0.836 -1.791 6.089" Properties=species:S:1:pos:R:3 comment="KTlTe meta-GGA SCAN single point on PBEsol structure" crystal_system=tetragonal final_energy_ev_per_atom=-39.982 pbc="T T T"
K 0.017 -0.037 0.040
Te 1.454 -3.279 -0.669
Tl 1.034 -2.288 2.446

5
Lattice="6.548 0.000 0.000 0.000 6.548 0.000 0.000 0.000 6.548" Properties=species:S:1:pos:R:3 comment="K3TlTe meta-GGA SCAN single point on PBEsol structure" crystal_system=cubic dos_ef_per_ev_cell=2.64 final_energy_ev_per_atom=-27.369 pbc="T T T"
K 0.000 0.000 3.274
K 3.274 0.000 0.000
Te 0.000 0.000 0.000
Tl 3.274 3.274 3.274
K 0.000 3.274 0.000

5
Lattice="4.780 0.000 0.000 0.000 4.780 0.000 -2.390 -2.390 7.693" Properties=species:S:1:pos:R:3 comment="KTl2Te2 meta-GGA SCAN single point on PBEsol structure" crystal_system=tetragonal dos_ef_per_ev_cell=1.37 final_energy_ev_per_atom=-46.003 pbc="T T T"
K 0.000 0.000 0.000
Te 2.390 2.390 1.542
Tl 2.390 0.000 3.847
Tl 0.000 2.390 3.847
Te 0.000 0.000 6.152

3
Lattice="-1.859 4.335 -0.717 -1.355 -2.582 3.776 4.218 2.322 3.101" Properties=species:S:1:pos:R:3 comment="KTlTe meta-GGA SCAN single point on PBEsol structure" crystal_system=trigonal dos_ef_per_ev_cell=0.00 final_energy_ev_per_atom=-40.025 pbc="T T T"
Tl -0.091 2.910 1.957
Te 1.162 1.201 4.253
K 4.152 2.285 3.052

8
Lattice="-0.342 7.286 1.757 -3.377 -1.708 -6.479 -3.697 -4.440 4.787" Properties=species:S:1:pos:R:3 comment="KTlTe2 meta-GGA SCAN single point on PBEsol structure" crystal_system=tetragonal final_energy_ev_per_atom=-39.344 pbc="T T T"
Te -4.441 3.956 -2.508
Te -0.833 2.541 0.950
Tl -3.628 1.252 -2.784
Te -4.815 0.134 -0.461
Tl 0.000 0.000 0.000
K -3.788 -0.114 2.849
K -3.537 -3.074 -0.846
Te -4.743 -4.355 2.151

3
Lattice="5.596 0.000 0.000 2.798 4.846 0.000 2.798 1.615 4.569" Properties=species:S:1:pos:R:3 comment="KTlTe meta-GGA SCAN single point on PBEsol structure" crystal_system=cubic final_energy_ev_per_atom=-40.001 pbc="T T T"
Tl 0.000 0.000 0.000
K 5.596 3.231 2.284
Te 2.798 1.615 1.142

5
Lattice="-5.147 -1.736 1.189 1.743 -1.404 5.497 -1.416 5.461 1.844" Properties=species:S:1:pos:R:3 comment="KTlTe2W meta-GGA SCAN single point on PBEsol structure" crystal_system=tetragonal dos_ef_per_ev_cell=3.99 final_energy_ev_per_atom=-43.241 pbc="T T T"
K 0.000 0.000 0.000
W -2.573 -0.868 0.595
Tl -2.410 1.161 4.265
Te -0.708 2.731 0.922
Te 0.872 -0.702 2.749

5
Lattice="-3.066 -3.186 -1.242 3.405 -2.997 -0.718 -0.313 -1.400 4.363" Properties=species:S:1:pos:R:3 comment="KTeW3 meta-GGA SCAN single point on PBEsol structure" crystal_system=cubic dos_ef_per_ev_cell=6.46 final_energy_ev_per_atom=-46.936 pbc="T T T"
W -0.156 -0.700 2.181
W -1.533 -1.593 -0.621
Te 0.014 -3.792 1.201
W 1.703 -1.498 -0.359
K 0.000 0.000 0.000